Record 1
{
  "formula": "HgH9C3SI3",
  "functional": "GGA-PBE",
  "state": "optimized geometry",
  "energy_ev_per_atom": -4.158,
  "lattice": [[-2.593, 3.573, -7.421], [-8.307, -12.456, -3.096], [-5.092, 0.735, 10.707]],
  "species": ["S", "S", "S", "S", "C", "C", "C", "C", "C", "C", "C", "C", "C", "C", "C", "C", "H", "H", "H", "H", "H", "H", "H", "H", "H", "H", "H", "H", "H", "H", "H", "H", "H", "H", "H", "H", "H", "H", "H", "H", "H", "H", "H", "H", "H", "H", "H", "H", "H", "H", "H", "H", "I", "I", "I", "I", "I", "I", "I", "I", "I", "I", "I", "I", "Hg", "Hg", "Hg", "Hg"],
  "frac_coords": [[0.298, 0.631, 0.411], [0.702, 0.369, 0.589], [0.298, 0.869, 0.911], [0.702, 0.131, 0.089], [0.535, 0.114, 0.899], [0.535, 0.386, 0.399], [0.583, 0.220, 0.109], [0.465, 0.614, 0.601], [0.099, 0.814, 0.891], [0.583, 0.280, 0.609], [0.901, 0.314, 0.609], [0.901, 0.186, 0.109], [0.099, 0.686, 0.391], [0.417, 0.780, 0.891], [0.465, 0.886, 0.101], [0.417, 0.720, 0.391], [0.036, 0.638, 0.423], [0.441, 0.725, 0.959], [0.599, 0.584, 0.627], [0.681, 0.263, 0.723], [0.599, 0.916, 0.127], [0.443, 0.306, 0.578], [0.500, 0.324, 0.342], [0.846, 0.244, 0.041], [0.989, 0.703, 0.277], [0.608, 0.068, 0.873], [0.989, 0.797, 0.777], [0.441, 0.775, 0.459], [0.443, 0.194, 0.078], [0.154, 0.756, 0.959], [0.500, 0.676, 0.658], [0.964, 0.362, 0.577], [0.401, 0.084, 0.873], [0.557, 0.694, 0.422], [0.392, 0.568, 0.627], [0.319, 0.763, 0.777], [0.557, 0.806, 0.922], [0.846, 0.256, 0.541], [0.319, 0.737, 0.277], [0.011, 0.297, 0.723], [0.036, 0.862, 0.923], [0.964, 0.138, 0.077], [0.500, 0.176, 0.842], [0.608, 0.432, 0.373], [0.681, 0.237, 0.223], [0.154, 0.744, 0.459], [0.011, 0.203, 0.223], [0.559, 0.275, 0.041], [0.392, 0.932, 0.127], [0.559, 0.225, 0.541], [0.500, 0.824, 0.158], [0.401, 0.416, 0.373], [0.463, 0.405, 0.832], [0.907, 0.866, 0.502], [0.975, 0.916, 0.152], [0.907, 0.634, 0.002], [0.537, 0.905, 0.668], [0.463, 0.095, 0.332], [0.025, 0.416, 0.348], [0.537, 0.595, 0.168], [0.975, 0.584, 0.652], [0.025, 0.084, 0.848], [0.093, 0.366, 0.998], [0.093, 0.134, 0.498], [0.182, 0.974, 0.432], [0.818, 0.474, 0.068], [0.818, 0.026, 0.568], [0.182, 0.526, 0.932]]
}

---

Record 2
{
  "formula": "Li2AlZnAg2Au2",
  "functional": "GGA-PBE",
  "state": "optimized geometry",
  "energy_ev_per_atom": -3.010,
  "lattice": [[4.460, 0.000, 0.000], [0.000, 4.460, 0.000], [0.000, 0.000, 6.269]],
  "species": ["Zn", "Li", "Li", "Al", "Ag", "Ag", "Au", "Au"],
  "frac_coords": [[0.500, 0.500, 0.000], [0.000, 0.000, 0.000], [0.500, 0.500, 0.500], [0.000, 0.000, 0.500], [0.000, 0.500, 0.751], [0.500, 0.000, 0.249], [0.500, 0.000, 0.743], [0.000, 0.500, 0.257]]
}

---

Record 3
{
  "formula": "Ba2ZnNi",
  "functional": "GGA-PBE",
  "state": "optimized geometry",
  "energy_ev_per_atom": -2.813,
  "lattice": [[3.848, -2.220, 0.000], [3.848, 2.220, 0.000], [-2.548, 0.000, 8.436]],
  "species": ["Ba", "Ba", "Zn", "Ni"],
  "frac_coords": [[0.959, 0.959, 0.879], [0.791, 0.791, 0.371], [0.542, 0.542, 0.625], [0.208, 0.208, 0.624]]
}

---

Record 4
{
  "formula": "Zr2AlZn2In",
  "functional": "GGA-PBE",
  "state": "optimized geometry",
  "energy_ev_per_atom": -4.693,
  "lattice": [[-0.360, -3.669, -2.535], [4.035, 1.710, 0.900], [0.386, -3.708, 5.312]],
  "species": ["Zn", "Zn", "Zr", "Zr", "Al", "In"],
  "frac_coords": [[0.333, 0.667, 0.000], [0.000, 0.000, 0.500], [0.667, 0.333, 0.760], [0.667, 0.333, 0.240], [0.000, 0.000, 0.000], [0.333, 0.667, 0.500]]
}

---

Record 5
{
  "formula": "Gd4As3",
  "functional": "GGA-PBE",
  "state": "optimized geometry",
  "energy_ev_per_atom": -5.904,
  "lattice": [[2.059, 1.189, 13.256], [-2.059, 1.189, 13.256], [0.000, -2.377, 13.256]],
  "species": ["As", "As", "As", "Gd", "Gd", "Gd", "Gd"],
  "frac_coords": [[0.417, 0.417, 0.417], [0.578, 0.578, 0.578], [0.998, 0.998, 0.998], [0.124, 0.124, 0.124], [0.872, 0.872, 0.872], [0.706, 0.706, 0.706], [0.289, 0.289, 0.289]]
}

---

Record 6
{
  "formula": "LaErCu2",
  "functional": "GGA-PBE",
  "state": "optimized geometry",
  "formation_energy_kj_per_mol_atoms": -20.4,
  "energy_ev_per_atom": -4.442,
  "polymorph_energy_ev_per_atom": 0.0107,
  "lattice": [[-4.013, -2.037, 0.637], [1.203, -0.701, 5.343], [-2.994, 6.372, 1.510]],
  "species": ["Cu", "Cu", "Cu", "Cu", "La", "La", "Er", "Er"],
  "frac_coords": [[0.500, 0.116, 0.464], [0.000, 0.632, 0.031], [0.000, 0.368, 0.531], [0.500, 0.884, 0.964], [0.500, 0.379, 0.822], [0.500, 0.621, 0.322], [0.000, 0.888, 0.683], [0.000, 0.112, 0.183]]
}

---

Record 7
{
  "formula": "TeIrPd",
  "functional": "GGA-PBE",
  "state": "optimized geometry",
  "energy_ev_per_atom": -5.640,
  "polymorph_energy_ev_per_atom": 0.0000,
  "lattice": [[0.000, 3.109, 3.109], [3.109, 0.000, 3.109], [3.109, 3.109, 0.000]],
  "species": ["Te", "Ir", "Pd"],
  "frac_coords": [[0.750, 0.750, 0.750], [0.000, 0.000, 0.000], [0.250, 0.250, 0.250]]
}

---

Record 8
{
  "formula": "ZrGaMo",
  "functional": "GGA-PBE",
  "state": "optimized geometry",
  "energy_ev_per_atom": -6.938,
  "polymorph_energy_ev_per_atom": 0.0000,
  "lattice": [[3.015, -1.795, 2.762], [-1.317, -2.760, 3.253], [0.943, -4.357, -0.251]],
  "species": ["Ga", "Mo", "Zr"],
  "frac_coords": [[0.250, 0.250, 0.250], [0.000, 0.000, 0.000], [0.750, 0.750, 0.750]]
}